{"formula": "Ba2SnPtO6", "functional": "PBE-GGA", "state": "relaxed", "e_form_raw_ev_per_fu": -17.77, "space_group": "No. 166", "lattice": [[2.9619, 1.7101, 10.0318], [-2.9619, 1.7101, 10.0318], [0.0000, -3.4201, 10.0318]], "species": ["Ba", "Ba", "Ba", "Ba", "Sn", "Sn", "Pt", "Pt", "O", "O", "O", "O", "O", "O", "O", "O", "O", "O", "O", "O"], "fractional_positions": [[0.1268, 0.1268, 0.1268], [0.2856, 0.2856, 0.2856], [0.7144, 0.7144, 0.7144], [0.8732, 0.8732, 0.8732], [0.4070, 0.4070, 0.4070], [0.5930, 0.5930, 0.5930], [0.0000, 0.0000, 0.0000], [0.5000, 0.5000, 0.5000], [0.1510, 0.6077, 0.6077], [0.1998, 0.1998, 0.7237], [0.1998, 0.7237, 0.1998], [0.2763, 0.8002, 0.8002], [0.3923, 0.3923, 0.8490], [0.3923, 0.8490, 0.3923], [0.6077, 0.1510, 0.6077], [0.6077, 0.6077, 0.1510], [0.7237, 0.1998, 0.1998], [0.8002, 0.2763, 0.8002], [0.8002, 0.8002, 0.2763], [0.8490, 0.3923, 0.3923]]}



{"formula": "Ba2SnPt3O12", "functional": "PBE-GGA", "state": "relaxed", "e_form_raw_ev_per_fu": -20.04, "space_group": "No. 166", "lattice": [[3.5993, 2.0781, 5.9046], [-3.5993, 2.0781, 5.9046], [0.0000, -4.1561, 5.9046]], "species": ["Ba", "Ba", "Sn", "Pt", "Pt", "Pt", "O", "O", "O", "O", "O", "O", "O", "O", "O", "O", "O", "O"], "fractional_positions": [[0.1200, 0.1200, 0.1200], [0.8800, 0.8800, 0.8800], [0.5000, 0.5000, 0.5000], [0.0000, 0.5000, 0.5000], [0.5000, 0.0000, 0.5000], [0.5000, 0.5000, 0.0000], [0.1473, 0.5942, 0.5942], [0.1750, 0.1750, 0.6046], [0.1750, 0.6046, 0.1750], [0.3954, 0.8250, 0.8250], [0.4058, 0.4058, 0.8527], [0.4058, 0.8527, 0.4058], [0.5942, 0.1473, 0.5942], [0.5942, 0.5942, 0.1473], [0.6046, 0.1750, 0.1750], [0.8250, 0.3954, 0.8250], [0.8250, 0.8250, 0.3954], [0.8527, 0.4058, 0.4058]]}



{"formula": "BaSn2PtO8", "functional": "PBE-GGA", "state": "relaxed", "e_form_raw_ev_per_fu": -13.75, "space_group": "No. 10", "lattice": [[4.8234, 0.0000, 0.0000], [0.0000, 6.9559, 0.0000], [-0.2063, 0.0000, 4.9508]], "species": ["Ba", "Sn", "Sn", "Pt", "O", "O", "O", "O", "O", "O", "O", "O"], "fractional_positions": [[0.0000, 0.0000, 0.0000], [0.5000, 0.2644, 0.5000], [0.5000, 0.7356, 0.5000], [0.0000, 0.5000, 0.0000], [0.2534, 0.5000, 0.6702], [0.2541, 0.3001, 0.1540], [0.2541, 0.6999, 0.1540], [0.2718, 0.0000, 0.5612], [0.7282, 0.0000, 0.4388], [0.7459, 0.3001, 0.8460], [0.7459, 0.6999, 0.8460], [0.7466, 0.5000, 0.3298]]}



{"formula": "Ba2SrPtO", "functional": "PBE-GGA", "state": "relaxed", "e_form_raw_ev_per_fu": -0.79, "space_group": "No. 123", "lattice": [[6.5515, 0.0000, 0.0000], [0.0000, 6.5515, 0.0000], [0.0000, 0.0000, 4.4020]], "species": ["Ba", "Ba", "Sr", "Pt", "O"], "fractional_positions": [[0.0000, 0.5000, 0.0000], [0.5000, 0.0000, 0.0000], [0.0000, 0.0000, 0.0000], [0.5000, 0.5000, 0.5000], [0.0000, 0.0000, 0.5000]]}



{"formula": "BaSrPtO4", "functional": "PBE-GGA", "state": "relaxed", "e_form_raw_ev_per_fu": -12.54, "space_group": "No. 107", "lattice": [[-2.0261, 2.0261, 6.5438], [2.0261, -2.0261, 6.5438], [2.0261, 2.0261, -6.5438]], "species": ["Ba", "Sr", "Pt", "O", "O", "O", "O"], "fractional_positions": [[0.0000, 0.0000, 0.0000], [0.7088, 0.7088, 0.0000], [0.3558, 0.3558, 0.0000], [0.1955, 0.1955, 0.0000], [0.3322, 0.8322, 0.5000], [0.5155, 0.5155, 0.0000], [0.8322, 0.3322, 0.5000]]}



{"formula": "Ba3SrPt2O6", "functional": "PBE-GGA", "state": "relaxed", "e_form_raw_ev_per_fu": -17.83, "space_group": "No. 164", "lattice": [[6.1834, 0.0000, 0.0000], [-3.0917, 5.3549, 0.0000], [0.0000, 0.0000, 7.0144]], "species": ["Ba", "Ba", "Ba", "Sr", "Pt", "Pt", "O", "O", "O", "O", "O", "O"], "fractional_positions": [[0.0000, 0.0000, 0.0000], [0.3333, 0.6667, 0.6498], [0.6667, 0.3333, 0.3502], [0.0000, 0.0000, 0.5000], [0.3333, 0.6667, 0.1397], [0.6667, 0.3333, 0.8603], [0.1740, 0.3480, 0.2934], [0.1740, 0.8260, 0.2934], [0.3480, 0.1740, 0.7066], [0.6520, 0.8260, 0.2934], [0.8260, 0.1740, 0.7066], [0.8260, 0.6520, 0.7066]]}



{"formula": "BaSr2PtO6", "functional": "PBE-GGA", "state": "relaxed", "e_form_raw_ev_per_fu": -18.09, "space_group": "No. 14", "lattice": [[5.9155, 0.0000, 0.0000], [0.0000, 6.4043, 0.0000], [-5.8131, 0.0000, 8.6248]], "species": ["Ba", "Ba", "Sr", "Sr", "Sr", "Sr", "Pt", "Pt", "O", "O", "O", "O", "O", "O", "O", "O", "O", "O", "O", "O"], "fractional_positions": [[0.0000, 0.0000, 0.0000], [0.0000, 0.5000, 0.5000], [0.2196, 0.0455, 0.7313], [0.2196, 0.4545, 0.2313], [0.7804, 0.5455, 0.7687], [0.7804, 0.9545, 0.2687], [0.5000, 0.0000, 0.5000], [0.5000, 0.5000, 0.0000], [0.1862, 0.1614, 0.4670], [0.1862, 0.3386, 0.9670], [0.2563, 0.7492, 0.4095], [0.2563, 0.7508, 0.9095], [0.4052, 0.0848, 0.2904], [0.4052, 0.4152, 0.7904], [0.5948, 0.5848, 0.2096], [0.5948, 0.9152, 0.7096], [0.7437, 0.2492, 0.0905], [0.7437, 0.2508, 0.5905], [0.8138, 0.6614, 0.0330], [0.8138, 0.8386, 0.5330]]}



{"formula": "BaSrPtO3", "functional": "PBE-GGA", "state": "relaxed", "e_form_raw_ev_per_fu": -11.85, "space_group": "No. 12", "lattice": [[6.8716, -2.0184, 0.0000], [6.8716, 2.0184, 0.0000], [-2.1467, 0.0000, 7.3791]], "species": ["Ba", "Ba", "Sr", "Sr", "Pt", "Pt", "O", "O", "O", "O", "O", "O"], "fractional_positions": [[0.1449, 0.1449, 0.0746], [0.8551, 0.8551, 0.9254], [0.1479, 0.1479, 0.5717], [0.8521, 0.8521, 0.4283], [0.4992, 0.4992, 0.7479], [0.5008, 0.5008, 0.2521], [0.0007, 0.0007, 0.7071], [0.3402, 0.3402, 0.6607], [0.3426, 0.3426, 0.1803], [0.6574, 0.6574, 0.8197], [0.6598, 0.6598, 0.3393], [0.9993, 0.9993, 0.2929]]}



{"formula": "Ba2TaPt3O12", "functional": "PBE-GGA", "state": "relaxed", "e_form_raw_ev_per_fu": -25.81, "space_group": "No. 166", "lattice": [[3.5569, 2.0536, 6.0474], [-3.5569, 2.0536, 6.0474], [0.0000, -4.1072, 6.0474]], "species": ["Ba", "Ba", "Ta", "Pt", "Pt", "Pt", "O", "O", "O", "O", "O", "O", "O", "O", "O", "O", "O", "O"], "fractional_positions": [[0.1247, 0.1247, 0.1247], [0.8753, 0.8753, 0.8753], [0.5000, 0.5000, 0.5000], [0.0000, 0.5000, 0.5000], [0.5000, 0.0000, 0.5000], [0.5000, 0.5000, 0.0000], [0.1652, 0.1652, 0.5885], [0.1652, 0.5885, 0.1652], [0.1690, 0.5781, 0.5781], [0.4115, 0.8348, 0.8348], [0.4219, 0.4219, 0.8310], [0.4219, 0.8310, 0.4219], [0.5781, 0.1690, 0.5781], [0.5781, 0.5781, 0.1690], [0.5885, 0.1652, 0.1652], [0.8310, 0.4219, 0.4219], [0.8348, 0.4115, 0.8348], [0.8348, 0.8348, 0.4115]]}



{"formula": "Ba2TbPt3O12", "functional": "PBE-GGA", "state": "relaxed", "e_form_raw_ev_per_fu": -23.28, "space_group": "No. 166", "lattice": [[3.6620, 2.1142, 5.6906], [-3.6620, 2.1142, 5.6906], [0.0000, -4.2285, 5.6906]], "species": ["Ba", "Ba", "Tb", "Pt", "Pt", "Pt", "O", "O", "O", "O", "O", "O", "O", "O", "O", "O", "O", "O"], "fractional_positions": [[0.1144, 0.1144, 0.1144], [0.8856, 0.8856, 0.8856], [0.5000, 0.5000, 0.5000], [0.0000, 0.5000, 0.5000], [0.5000, 0.0000, 0.5000], [0.5000, 0.5000, 0.0000], [0.1067, 0.6183, 0.6183], [0.1964, 0.1964, 0.6265], [0.1964, 0.6265, 0.1964], [0.3735, 0.8036, 0.8036], [0.3817, 0.3817, 0.8933], [0.3817, 0.8933, 0.3817], [0.6183, 0.1067, 0.6183], [0.6183, 0.6183, 0.1067], [0.6265, 0.1964, 0.1964], [0.8036, 0.3735, 0.8036], [0.8036, 0.8036, 0.3735], [0.8933, 0.3817, 0.3817]]}



{"formula": "Ba2TcPt3O12", "functional": "PBE-GGA", "state": "relaxed", "e_form_raw_ev_per_fu": -21.73, "space_group": "No. 166", "lattice": [[3.5782, 2.0659, 5.9246], [-3.5782, 2.0659, 5.9246], [0.0000, -4.1317, 5.9246]], "species": ["Ba", "Ba", "Tc", "Pt", "Pt", "Pt", "O", "O", "O", "O", "O", "O", "O", "O", "O", "O", "O", "O"], "fractional_positions": [[0.1589, 0.1589, 0.1589], [0.8411, 0.8411, 0.8411], [0.5000, 0.5000, 0.5000], [0.0000, 0.5000, 0.5000], [0.5000, 0.0000, 0.5000], [0.5000, 0.5000, 0.0000], [0.1612, 0.1612, 0.5604], [0.1612, 0.5604, 0.1612], [0.1864, 0.5690, 0.5690], [0.4310, 0.4310, 0.8136], [0.4310, 0.8136, 0.4310], [0.4396, 0.8388, 0.8388], [0.5604, 0.1612, 0.1612], [0.5690, 0.1864, 0.5690], [0.5690, 0.5690, 0.1864], [0.8136, 0.4310, 0.4310], [0.8388, 0.4396, 0.8388], [0.8388, 0.8388, 0.4396]]}



{"formula": "BaTcPtO6", "functional": "PBE-GGA", "state": "relaxed", "e_form_raw_ev_per_fu": -13.08, "space_group": "No. 149", "lattice": [[5.3854, 0.0000, 0.0000], [-2.6927, 4.6639, 0.0000], [0.0000, 0.0000, 5.6494]], "species": ["Ba", "Tc", "Pt", "O", "O", "O", "O", "O", "O"], "fractional_positions": [[0.0000, 0.0000, 0.0000], [0.3333, 0.6667, 0.5000], [0.6667, 0.3333, 0.5000], [0.0097, 0.3955, 0.6923], [0.0097, 0.6142, 0.3077], [0.3858, 0.3955, 0.3077], [0.3858, 0.9903, 0.6923], [0.6045, 0.6142, 0.6923], [0.6045, 0.9903, 0.3077]]}